DFT (PBE-GGA) results for an optimized crystal structure of Tb3CuSe6.

Results
The calculation puts the total energy at -5.235 eV per atom. The distance to the lowest polymorph of the same formula comes out at 0.104 eV/atom. The calculation puts the formation energy from raw total energies at -1.35 eV per atom.

The structure in CIF format:
```
data_Tb3CuSe6
_chemical_formula_sum 'Tb12 Cu4 Se24'
_space_group_name_H-M_alt 'C m c 21'
_space_group_IT_number 36
_space_group_name_Hall 'C 2c -2'
_cell_length_a 11.3445
_cell_length_b 12.9926
_cell_length_c 6.9802
_cell_angle_alpha 90.00
_cell_angle_beta 90.00
_cell_angle_gamma 90.00
loop_
_atom_site_label
_atom_site_type_symbol
_atom_site_fract_x
_atom_site_fract_y
_atom_site_fract_z
Tb1 Tb 0.0000 0.1041 0.0000
Tb2 Tb 0.1809 0.4020 0.9028
Cu1 Cu 0.0000 0.2933 0.3579
Se1 Se 0.0000 0.2847 0.7068
Se2 Se 0.0000 0.4633 0.2030
Se3 Se 0.1603 0.0356 0.6994
Se4 Se 0.1712 0.2375 0.1898
```